# CePm12Sm7 PBE-GGA optimized geometry
data_CePm12Sm7
_chemical_formula_sum 'Ce3 Pm36 Sm21'
_space_group_name_H-M_alt 'R -3'
_space_group_IT_number 148
_space_group_name_Hall '-R 3'
_cell_length_a 15.2800
_cell_length_b 15.2800
_cell_length_c 10.1918
_cell_angle_alpha 90.00
_cell_angle_beta 90.00
_cell_angle_gamma 120.00
loop_
_atom_site_label
_atom_site_type_symbol
_atom_site_fract_x
_atom_site_fract_y
_atom_site_fract_z
_atom_site_occupancy
Ce1 Ce 0.0000 0.0000 0.0000 1
Pm1 Pm 0.0385 0.7891 0.5738 1
Pm2 Pm 0.0437 0.8488 0.2543 1
Sm1 Sm 0.0000 0.0000 0.5000 1
Sm2 Sm 0.0690 0.8239 0.9296 1
# ΔH_f (0 K) (eV per atom): 0.158
# Polymorph energy (0 for the lowest one) (meV/atom): 0
# Uncorrected energy (eV/f.u.): -92.82
# Crystal system: trigonal

***

# Rb2LiYF PBE-GGA optimized geometry
data_Rb2LiYF
_chemical_formula_sum 'Rb2 Li1 Y1 F1'
_space_group_name_H-M_alt 'P 4/m m m'
_space_group_IT_number 123
_space_group_name_Hall '-P 4 2'
_cell_length_a 6.986
_cell_length_b 6.986
_cell_length_c 4.435
_cell_angle_alpha 90.00
_cell_angle_beta 90.00
_cell_angle_gamma 90.00
loop_
_atom_site_label
_atom_site_type_symbol
_atom_site_fract_x
_atom_site_fract_y
_atom_site_fract_z
_atom_site_occupancy
Rb1 Rb 0.000 0.500 0.000 1
Li1 Li 0.000 0.000 0.500 1
Y1 Y 0.500 0.500 0.500 1
F1 F 0.500 0.500 0.000 1
# Uncorrected energy (eV/f.u.): -15.59
# E_form (uncorrected) (meV per atom): -681
# Crystal system: tetragonal

***

# RbLiDy2Br8 PBE-GGA optimized geometry
data_RbLiDy2Br8
_chemical_formula_sum 'Rb1 Li1 Dy2 Br8'
_space_group_name_H-M_alt 'P -3'
_space_group_IT_number 147
_space_group_name_Hall '-P 3'
_cell_length_a 7.2934
_cell_length_b 7.2934
_cell_length_c 8.8429
_cell_angle_alpha 90.00
_cell_angle_beta 90.00
_cell_angle_gamma 120.00
loop_
_atom_site_label
_atom_site_type_symbol
_atom_site_fract_x
_atom_site_fract_y
_atom_site_fract_z
_atom_site_occupancy
Rb1 Rb 0.0000 0.0000 0.0000 1
Li1 Li 0.0000 0.0000 0.5000 1
Dy1 Dy 0.3333 0.6667 0.4067 1
Br1 Br 0.0645 0.3589 0.6499 1
Br2 Br 0.3333 0.6667 0.0993 1
# Uncorrected energy (eV/f.u.): -46.42
# E_form (uncorrected) (meV per atom): -1746
# Crystal system: trigonal

***

Copy entry 1 word for word.
# CePm12Sm7 PBE-GGA optimized geometry
data_CePm12Sm7
_chemical_formula_sum 'Ce3 Pm36 Sm21'
_space_group_name_H-M_alt 'R -3'
_space_group_IT_number 148
_space_group_name_Hall '-R 3'
_cell_length_a 15.2800
_cell_length_b 15.2800
_cell_length_c 10.1918
_cell_angle_alpha 90.00
_cell_angle_beta 90.00
_cell_angle_gamma 120.00
loop_
_atom_site_label
_atom_site_type_symbol
_atom_site_fract_x
_atom_site_fract_y
_atom_site_fract_z
_atom_site_occupancy
Ce1 Ce 0.0000 0.0000 0.0000 1
Pm1 Pm 0.0385 0.7891 0.5738 1
Pm2 Pm 0.0437 0.8488 0.2543 1
Sm1 Sm 0.0000 0.0000 0.5000 1
Sm2 Sm 0.0690 0.8239 0.9296 1
# ΔH_f (0 K) (eV per atom): 0.158
# Polymorph energy (0 for the lowest one) (meV/atom): 0
# Uncorrected energy (eV/f.u.): -92.82
# Crystal system: trigonal